1.
The following is a DFT calculation (GGA-PBE) of an optimized crystal structure of Li8Au3.

Relative energy among the computed polymorphs in meV per atom: 0
Raw total energy in eV per formula unit: -29.64
Volume in A^3/atom: 14.99

a b c (Å): 4.3575 4.3575 10.3554
angles (deg): 102.27 102.27 59.92
Atoms (fractional coordinates):
Li 0.0892 0.0892 0.2681
Li 0.1802 0.1802 0.5406
Li 0.2719 0.2719 0.8157
Li 0.3631 0.3631 0.0895
Li 0.6369 0.6369 0.9105
Li 0.7281 0.7281 0.1843
Li 0.8198 0.8198 0.4594
Li 0.9108 0.9108 0.7319
Au 0.0000 0.0000 0.0000
Au 0.4515 0.4515 0.3558
Au 0.5485 0.5485 0.6442



2.
The following is a DFT calculation (GGA-PBE) of an optimized crystal structure of PmNbGe.

Relative energy among the computed polymorphs in meV per atom: 1504
Raw total energy in eV per formula unit: -16.77
Volume in A^3/atom: 27.79
M_tot in μB/f.u.: 3.73

a b c (Å): 6.9348 6.9348 6.9348
angles (deg): 90.00 90.00 90.00
Atoms (fractional coordinates):
Pm 0.0000 0.0000 0.0000
Pm 0.0000 0.5000 0.5000
Pm 0.5000 0.0000 0.5000
Pm 0.5000 0.5000 0.0000
Nb 0.2500 0.2500 0.2500
Nb 0.2500 0.7500 0.7500
Nb 0.7500 0.2500 0.7500
Nb 0.7500 0.7500 0.2500
Ge 0.2500 0.2500 0.7500
Ge 0.2500 0.7500 0.2500
Ge 0.7500 0.2500 0.2500
Ge 0.7500 0.7500 0.7500



3.
The following is a DFT calculation (GGA-PBE) of an optimized crystal structure of Tb2Si3Ir.

Raw total energy in eV per formula unit: -39.90
Volume in A^3/atom: 19.57
M_tot in μB/f.u.: 0.01

a b c (Å): 8.1647 8.1522 5.7649
angles (deg): 69.43 69.19 41.38
Atoms (fractional coordinates):
Tb 0.2476 0.7524 0.7524
Tb 0.2500 0.2500 0.2500
Tb 0.7500 0.7500 0.7500
Tb 0.7524 0.2476 0.2476
Si 0.1670 0.6657 0.3343
Si 0.3329 0.3329 0.6671
Si 0.3343 0.8330 0.1670
Si 0.6657 0.1670 0.8330
Si 0.6671 0.6671 0.3329
Si 0.8330 0.3343 0.6657
Ir 0.1661 0.1661 0.8339
Ir 0.8339 0.8339 0.1661



4.
The following is a DFT calculation (GGA-PBE) of an optimized crystal structure of Er2Cu2SnGe.

Raw total energy in eV per formula unit: -28.89
Volume in A^3/atom: 19.94
M_tot in μB/f.u.: 0.00

a b c (Å): 4.3955 4.3955 7.1489
angles (deg): 90.00 90.00 120.00
Atoms (fractional coordinates):
Er 0.0000 0.0000 0.0000
Er 0.0000 0.0000 0.4818
Cu 0.3333 0.6667 0.6690
Cu 0.6667 0.3333 0.1903
Sn 0.6667 0.3333 0.7617
Ge 0.3333 0.6667 0.2674



5.
The following is a DFT calculation (GGA-PBE) of an optimized crystal structure of RbTeMoAuSe2.

Raw total energy in eV per formula unit: -27.18
Volume in A^3/atom: 28.60
M_tot in μB/f.u.: 2.13

a b c (Å): 8.4304 8.4304 10.6137
angles (deg): 90.00 90.00 152.93
Atoms (fractional coordinates):
Rb 0.2334 0.7666 0.7500
Rb 0.7666 0.2334 0.2500
Te 0.0730 0.9270 0.2500
Te 0.9270 0.0730 0.7500
Mo 0.0000 0.0000 0.0000
Mo 0.0000 0.0000 0.5000
Au 0.4480 0.5520 0.2500
Au 0.5520 0.4480 0.7500
Se 0.3925 0.6075 0.0284
Se 0.3925 0.6075 0.4716
Se 0.6075 0.3925 0.5284
Se 0.6075 0.3925 0.9716



6.
The following is a DFT calculation (GGA-PBE) of an optimized crystal structure of ZrTaCoBi.

Relative energy among the computed polymorphs in meV per atom: 0
Raw total energy in eV per formula unit: -29.57
Volume in A^3/atom: 19.18
M_tot in μB/f.u.: 1.54

a b c (Å): 6.7452 6.7452 6.7452
angles (deg): 90.00 90.00 90.00
Atoms (fractional coordinates):
Zr 0.0000 0.0000 0.0000
Zr 0.0000 0.5000 0.5000
Zr 0.5000 0.0000 0.5000
Zr 0.5000 0.5000 0.0000
Ta 0.2500 0.2500 0.2500
Ta 0.2500 0.7500 0.7500
Ta 0.7500 0.2500 0.7500
Ta 0.7500 0.7500 0.2500
Co 0.2500 0.2500 0.7500
Co 0.2500 0.7500 0.2500
Co 0.7500 0.2500 0.2500
Co 0.7500 0.7500 0.7500
Bi 0.0000 0.0000 0.5000
Bi 0.0000 0.5000 0.0000
Bi 0.5000 0.0000 0.0000
Bi 0.5000 0.5000 0.5000



7.
The following is a DFT calculation (GGA-PBE) of an optimized crystal structure of HoEr2Al3NiAg2.

Raw total energy in eV per formula unit: -40.65
Volume in A^3/atom: 20.10
M_tot in μB/f.u.: 0.00

a b c (Å): 4.1025 7.1369 7.1369
angles (deg): 120.05 90.00 90.00
Atoms (fractional coordinates):
Ho 0.0000 0.0000 0.0000
Er 0.0000 0.2040 0.6015
Er 0.0000 0.6015 0.2040
Al 0.5000 0.3775 0.3775
Al 0.5000 0.6015 0.8251
Al 0.5000 0.8251 0.6015
Ni 0.0000 0.6005 0.6005
Ag 0.5000 0.2691 0.9344
Ag 0.5000 0.9344 0.2691



8.
The following is a DFT calculation (GGA-PBE) of an optimized crystal structure of Tb2NdSb3.

Raw total energy in eV per formula unit: -33.35
Volume in A^3/atom: 30.94
M_tot in μB/f.u.: 0.01

a b c (Å): 4.4385 4.4385 10.8809
angles (deg): 90.00 90.00 120.00
Atoms (fractional coordinates):
Tb 0.3333 0.6667 0.3358
Tb 0.6667 0.3333 0.6642
Nd 0.0000 0.0000 0.0000
Sb 0.0000 0.0000 0.5000
Sb 0.3333 0.6667 0.8273
Sb 0.6667 0.3333 0.1727



9.
The following is a DFT calculation (GGA-PBE) of an optimized crystal structure of GdDy2Al3CuNi2.

Raw total energy in eV per formula unit: -44.83
Volume in A^3/atom: 18.37
M_tot in μB/f.u.: 0.01

a b c (Å): 3.9379 6.9596 6.9596
angles (deg): 119.93 90.00 90.00
Atoms (fractional coordinates):
Gd 0.0000 0.0000 0.0000
Dy 0.0000 0.4193 0.8385
Dy 0.0000 0.8385 0.4193
Al 0.5000 0.1813 0.4211
Al 0.5000 0.4211 0.1813
Al 0.5000 0.6573 0.6573
Cu 0.0000 0.4207 0.4207
Ni 0.5000 0.0872 0.7512
Ni 0.5000 0.7512 0.0872



10.
The following is a DFT calculation (GGA-PBE) of an optimized crystal structure of TmGePd2.

Raw total energy in eV per formula unit: -22.60
Volume in A^3/atom: 18.32
M_tot in μB/f.u.: 0.00

a b c (Å): 4.4587 5.6985 5.7681
angles (deg): 90.00 90.00 90.00
Atoms (fractional coordinates):
Tm 0.0000 0.0971 0.0000
Tm 0.5000 0.9029 0.5000
Ge 0.0000 0.6103 0.2373
Ge 0.5000 0.3897 0.7373
Pd 0.0000 0.2328 0.5136
Pd 0.0000 0.6752 0.7173
Pd 0.5000 0.3248 0.2173
Pd 0.5000 0.7672 0.0136



11.
The following is a DFT calculation (GGA-PBE) of an optimized crystal structure of PrErTl2.

Raw total energy in eV per formula unit: -15.51
Volume in A^3/atom: 28.21
M_tot in μB/f.u.: 0.04

a b c (Å): 3.8300 3.8300 7.6912
angles (deg): 90.00 90.00 90.00
Atoms (fractional coordinates):
Pr 0.0000 0.0000 0.0000
Er 0.0000 0.0000 0.5000
Tl 0.5000 0.5000 0.2666
Tl 0.5000 0.5000 0.7334



12.
The following is a DFT calculation (GGA-PBE) of an optimized crystal structure of PrTm2Se3.

Raw total energy in eV per formula unit: -34.55
Volume in A^3/atom: 24.25
M_tot in μB/f.u.: 0.01

a b c (Å): 4.0541 4.0541 10.2208
angles (deg): 90.00 90.00 120.00
Atoms (fractional coordinates):
Pr 0.0000 0.0000 0.0000
Tm 0.3333 0.6667 0.6615
Tm 0.6667 0.3333 0.3385
Se 0.0000 0.0000 0.5000
Se 0.3333 0.6667 0.1863
Se 0.6667 0.3333 0.8136